Crystalline K2AgIr at its relaxed geometry. Source: the Alexandria database, functional PBE-GGA.

Cell lengths 5.984, 5.984, 5.984 Å; angles 138.11, 138.11, 60.73 degrees
Atoms (fractional coordinates):
K: 0.250 0.750 0.500
K: 0.750 0.250 0.500
Ag: 0.000 0.000 0.000
Ir: 0.500 0.500 0.000

E_form ... 0.75 eV per atom
Total energy ... -0.100 hartree per atom
DOS at the Fermi energy ... 2.3 states/eV/cell

Crystalline NaLiSb2S4 at its relaxed geometry. Source: the Alexandria database, functional PBE-GGA.

Cell lengths 6.733, 5.721, 6.649 Å; angles 65.45, 50.61, 63.93 degrees
Atoms (fractional coordinates):
Na: 0.000 0.000 0.000
Li: 0.527 0.527 0.473
Sb: 0.265 0.265 0.235
Sb: 0.765 0.765 0.735
S: 0.234 0.708 0.292
S: 0.497 0.979 0.503
S: 0.708 0.234 0.766
S: 0.979 0.497 0.021

Total energy ... -0.151 hartree per atom
DOS at the Fermi energy ... 0.9 states/eV/cell
Formation energy from raw total energies ... -0.603 eV/atom

Crystalline NaNbHgO2 at its relaxed geometry. Source: the Alexandria database, functional PBE-GGA.

Cell lengths 3.994, 3.994, 6.533 Å; angles 90.00, 90.00, 90.00 degrees
Atoms (fractional coordinates):
Na: 0.000 0.000 0.000
Nb: 0.000 0.000 0.500
Hg: 0.500 0.500 0.000
O: 0.000 0.500 0.500
O: 0.500 0.000 0.500

Total energy ... -0.199 hartree per atom
DOS at the Fermi energy ... 0.6 states/eV/cell
Formation energy from raw total energies ... -1.090 eV/atom

Crystalline AuNCl3 at its relaxed geometry. Source: the Alexandria database, functional PBE-GGA.

Cell lengths 4.469, 4.469, 4.469 Å; angles 90.00, 90.00, 90.00 degrees
Atoms (fractional coordinates):
Au: 0.000 0.000 0.000
N: 0.500 0.500 0.500
Cl: 0.000 0.500 0.500
Cl: 0.500 0.000 0.500
Cl: 0.500 0.500 0.000

Total energy ... -0.086 hartree per atom
DOS at the Fermi energy ... 1.4 states/eV/cell
Formation energy from raw total energies ... 1.098 eV/atom

Crystalline HoCuC at its relaxed geometry. Source: the Alexandria database, functional PBE-GGA.

Cell lengths 3.633, 3.633, 9.392 Å; angles 101.27, 101.27, 60.14 degrees
Atoms (fractional coordinates):
Ho: 0.113 0.113 0.333
Ho: 0.887 0.887 0.667
Cu: 0.371 0.371 0.109
Cu: 0.629 0.629 0.891
C: 0.025 0.025 0.074
C: 0.975 0.975 0.926

E_form ... 0.30 eV per atom
Total energy ... -0.208 hartree per atom
DOS at the Fermi energy ... 2.4 states/eV/cell

Crystalline CeDy2RhN4 at its relaxed geometry. Source: the Alexandria database, functional PBE-GGA.

Cell lengths 6.075, 6.075, 11.577 Å; angles 90.00, 90.00, 147.65 degrees
Atoms (fractional coordinates):
Ce: 0.115 0.885 0.750
Ce: 0.885 0.115 0.250
Dy: 0.371 0.629 0.548
Dy: 0.371 0.629 0.952
Dy: 0.629 0.371 0.048
Dy: 0.629 0.371 0.452
Rh: 0.146 0.854 0.250
Rh: 0.854 0.146 0.750
N: 0.000 0.000 0.000
N: 0.000 0.000 0.500
N: 0.277 0.723 0.130
N: 0.277 0.723 0.370
N: 0.459 0.541 0.750
N: 0.541 0.459 0.250
N: 0.723 0.277 0.630
N: 0.723 0.277 0.870

Total energy ... -0.295 hartree per atom
DOS at the Fermi energy ... 6.3 states/eV/cell
Formation energy from raw total energies ... -1.056 eV/atom

Crystalline Ga2Hg3I2 at its relaxed geometry. Source: the Alexandria database, functional PBE-GGA.

Cell lengths 4.486, 4.505, 13.713 Å; angles 90.00, 98.71, 90.00 degrees
Atoms (fractional coordinates):
Ga: 0.062 0.000 0.208
Ga: 0.938 0.000 0.792
Hg: 0.000 0.000 0.000
Hg: 0.220 0.000 0.417
Hg: 0.780 0.000 0.583
I: 0.423 0.500 0.788
I: 0.577 0.500 0.212

Total energy ... -0.059 hartree per atom
DOS at the Fermi energy ... 0.3 states/eV/cell
Formation energy from raw total energies ... -0.166 eV/atom

Crystalline RbPr6S8 at its relaxed geometry. Source: the Alexandria database, functional PBE-GGA.

Cell lengths 11.160, 11.160, 4.175 Å; angles 90.00, 90.00, 120.00 degrees
Atoms (fractional coordinates):
Rb: 0.000 0.000 0.000
Pr: 0.139 0.476 0.748
Pr: 0.337 0.861 0.748
Pr: 0.476 0.337 0.252
Pr: 0.524 0.663 0.748
Pr: 0.663 0.139 0.252
Pr: 0.861 0.524 0.252
S: 0.047 0.682 0.753
S: 0.318 0.365 0.753
S: 0.333 0.667 0.248
S: 0.365 0.047 0.247
S: 0.635 0.953 0.753
S: 0.667 0.333 0.752
S: 0.682 0.635 0.247
S: 0.953 0.318 0.247

Total energy ... -0.221 hartree per atom
DOS at the Fermi energy ... 11.0 states/eV/cell
Formation energy from raw total energies ... -1.837 eV/atom